(1)
## LiMnSnHg (PBE-GGA)

Data for an optimized crystal structure of LiMnSnHg.

Structure (extended XYZ):
```
4
Lattice="-4.6052 0.5810 0.9097 -1.6610 -0.7471 4.3653 -1.4477 3.6504 2.6365" Properties=species:S:1:pos:R:3 pbc="T T T"
Mn 0.0000 0.0000 0.0000
Hg -1.9285 0.8711 1.9779
Sn -5.7854 2.6132 5.9336
Li -3.8569 1.7421 3.9558
```

Computed properties:
**Energy of formation from the pure elements**: -59 meV per atom
**SG**: F-43m, No. 216

***

(2)
## PmEr8Th2 (PBE-GGA)

Data for an optimized crystal structure of PmEr8Th2.

Structure (extended XYZ):
```
11
Lattice="5.4801 -0.5624 -0.3928 0.8244 9.7333 2.5465 0.8244 5.7407 8.2624" Properties=species:S:1:pos:R:3 pbc="T T T"
Er 5.0824 10.2870 5.2243
Er 5.5487 12.2126 8.5308
Er 5.0824 8.4454 7.8607
Er 2.0466 4.6246 5.1918
Er 2.2127 8.3291 5.8181
Th 2.6063 10.9548 7.6522
Er 2.0466 6.4662 2.5554
Pm 0.0000 0.0000 0.0000
Er 4.9163 6.5825 4.5980
Er 1.5803 2.6990 1.8853
Th 4.5227 3.9567 2.7639
```

Computed properties:
**Energy of formation from the pure elements**: 183 meV per atom
**Offset from the most stable computed form**: 0.089 eV per atom
**SG**: C2/m, No. 12

***

(3)
## Hf2Sc2Ge3 (PBE-GGA)

Data for an optimized crystal structure of Hf2Sc2Ge3.

Structure (extended XYZ):
```
7
Lattice="3.7468 -0.0037 -0.0008 -1.8668 6.3045 -0.0680 -0.0065 -1.0225 6.5725" Properties=species:S:1:pos:R:3 pbc="T T T"
Sc 0.0019 1.1205 2.5075
Ge 1.8764 2.8668 1.6415
Ge 0.0000 0.0000 0.0000
Sc 1.8717 4.1578 3.9961
Hf 1.8682 0.7115 5.7687
Ge -0.0028 2.4115 4.8621
Hf 0.0054 4.5668 0.7350
```

Computed properties:
**Energy of formation from the pure elements**: -457 meV per atom
**SG**: P-1, No. 2

***

(4)
## SmY2SbO8 (PBE-GGA)

Data for an optimized crystal structure of SmY2SbO8.

Structure (extended XYZ):
```
12
Lattice="4.1036 -0.1727 -0.0019 -0.1548 5.2666 -0.0055 0.0050 0.0082 7.3713" Properties=species:S:1:pos:R:3 pbc="T T T"
O 2.2326 4.0516 7.3654
Sm 0.0025 0.0041 3.6856
Y 1.9759 2.5492 1.8154
O 3.8745 1.1215 1.5778
O 1.7212 1.0505 -0.0015
O 3.8774 1.1260 5.7870
Y 1.9779 2.5528 5.5485
O 0.0764 3.9761 1.5768
O 0.0793 3.9806 5.7860
Sb 0.0000 0.0000 0.0000
O 1.9627 3.8509 3.6806
O 1.9911 1.2511 3.6832
```

Computed properties:
**Formation energy (no corrections)**: -2.4452 eV per atom
**SG**: P2/m, No. 10

***

(5)
## HoHfFePd (PBE-GGA)

Data for an optimized crystal structure of HoHfFePd.

Structure (extended XYZ):
```
4
Lattice="-4.2725 0.9519 -1.6739 -1.9992 -2.8897 -3.1009 -3.6575 -2.6380 1.2751" Properties=species:S:1:pos:R:3 pbc="T T T"
Hf -7.4469 -3.4318 -2.6247
Ho -2.4823 -1.1439 -0.8749
Pd 0.0000 0.0000 0.0000
Fe -4.9646 -2.2879 -1.7498
```

Computed properties:
**Energy of formation from the pure elements**: -342 meV per atom
**SG**: F-43m, No. 216

***

(6)
## Ce2CoRh (PBE-GGA)

Data for an optimized crystal structure of Ce2CoRh.

Structure (extended XYZ):
```
8
Lattice="-3.1205 2.2265 -0.1474 0.5279 0.3481 -5.9164 -4.3459 -5.9781 1.7048" Properties=species:S:1:pos:R:3 pbc="T T T"
Co -3.6649 -3.5268 -0.6454
Ce -2.7969 -2.5093 -3.6503
Co -3.2736 0.1232 -3.7136
Rh -5.4412 -2.8544 -2.8030
Ce -6.2264 -3.7617 0.1149
Rh -1.4973 -0.5492 -1.5561
Ce -4.1416 -0.8943 -0.7087
Ce -0.7121 0.3581 -4.4739
```

Computed properties:
**Energy of formation from the pure elements**: -501 meV per atom
**Offset from the most stable computed form**: 0.000 eV per atom
**SG**: P2_1/m, No. 11

***

(7)
## Sr2TlCl (PBE-GGA)

Data for an optimized crystal structure of Sr2TlCl.

Structure (extended XYZ):
```
4
Lattice="-7.7370 -0.0850 -0.9146 -4.4792 -3.8518 -5.0798 5.8899 -0.5169 5.0741" Properties=species:S:1:pos:R:3 pbc="T T T"
Tl -6.1081 -1.9684 -2.9972
Sr -3.9776 -1.2851 0.5812
Sr 0.0000 0.0000 0.0000
Cl -2.3487 -3.1686 -1.5014
```

Computed properties:
**Formation energy (no corrections)**: -0.8003 eV per atom
**Offset from the most stable computed form**: 0.285 eV per atom
**SG**: I-4m2, No. 119

***

(8)
## RbZrB (PBE-GGA)

Data for an optimized crystal structure of RbZrB.

Structure (extended XYZ):
```
6
Lattice="3.5561 -0.0004 0.0000 -0.0600 13.2027 0.0017 0.0000 -0.0114 3.4833" Properties=species:S:1:pos:R:3 pbc="T T T"
Rb 1.8903 8.7999 0.7681
Rb 0.1927 4.2682 2.5359
B 0.1220 1.2926 0.7917
Zr 1.9040 0.9962 2.5330
Zr 0.0653 12.0721 0.7859
B 1.8400 11.7757 2.5260
```

Computed properties:
**Energy of formation from the pure elements**: 166 meV per atom
**Offset from the most stable computed form**: 0.167 eV per atom
**SG**: P1, No. 1

***

(9)
## TaSiMo3 (PBE-GGA)

Data for an optimized crystal structure of TaSiMo3.

Structure (extended XYZ):
```
5
Lattice="4.4726 0.0000 0.0000 0.0000 4.4726 0.0000 0.0000 0.0000 4.4726" Properties=species:S:1:pos:R:3 pbc="T T T"
Mo 0.0000 0.0000 2.2363
Mo 0.0000 2.2363 0.0000
Si 0.0000 0.0000 0.0000
Ta 2.2363 2.2363 2.2363
Mo 2.2363 0.0000 0.0000
```

Computed properties:
**Formation energy (no corrections)**: 0.8383 eV per atom
**Offset from the most stable computed form**: 0.000 eV per atom
**SG**: Pm-3m, No. 221

***

(10)
## MgZrAuCl2 (PBE-GGA)

Data for an optimized crystal structure of MgZrAuCl2.

Structure (extended XYZ):
```
5
Lattice="4.4829 0.0000 0.0000 0.0000 7.5706 0.0000 0.0000 0.0000 4.4829" Properties=species:S:1:pos:R:3 pbc="T T T"
Au 2.2415 3.7853 2.2415
Cl 2.2415 0.0000 0.0000
Cl 0.0000 0.0000 2.2415
Mg 0.0000 0.0000 0.0000
Zr 0.0000 3.7853 0.0000
```

Computed properties:
**Formation energy (no corrections)**: -0.1720 eV per atom
**SG**: P4/mmm, No. 123

***

(11)
## Tl2CoCu (PBE-GGA)

Data for an optimized crystal structure of Tl2CoCu.

Structure (extended XYZ):
```
4
Lattice="8.3700 -0.0543 -0.0321 7.7423 3.1806 -0.0321 7.7423 1.5023 2.8037" Properties=species:S:1:pos:R:3 pbc="T T T"
Co 5.9637 1.1571 0.6848
Tl 11.9804 2.3246 1.3758
Tl 23.8015 4.6183 2.7333
Cu 17.8910 3.4714 2.0545
```

Computed properties:
**Energy of formation from the pure elements**: 579 meV per atom
**Offset from the most stable computed form**: 0.171 eV per atom
**SG**: R-3m, No. 166

***

(12)
## Sm6Ho7Er16 (PBE-GGA)

Data for an optimized crystal structure of Sm6Ho7Er16.

Structure (extended XYZ):
```
29
Lattice="-2.4636 10.3232 3.1715 -8.8022 1.8565 6.4631 1.4224 3.0391 10.5564" Properties=species:S:1:pos:R:3 pbc="T T T"
Ho 0.7112 1.5195 5.2782
Er -7.3811 8.0995 16.0974
Ho -4.4011 0.9283 3.2315
Er -4.9234 11.6129 8.9432
Er -2.4623 7.1194 4.0937
Er -1.0270 8.8059 9.2263
Er -7.3067 8.0797 6.7122
Er -3.4103 5.2727 6.9953
Ho -0.5206 6.6811 6.8640
Er -6.4331 9.9462 13.1958
Ho -1.2318 5.1616 1.5858
Sm -6.6206 5.0908 8.5053
Er -4.9200 3.6059 11.2479
Er -4.1580 12.4048 14.4236
Er -1.2095 1.8700 2.4810
Er -0.4862 3.4154 7.8489
Er -8.6339 13.3488 17.7101
Ho -3.6899 2.4478 8.5098
Ho -5.6329 6.0899 4.8173
Er -8.8164 6.4129 10.9648
Ho 0.0000 0.0000 0.0000
Sm -5.9978 6.4213 13.1268
Sm -3.2228 10.1280 11.6858
Sm -3.8456 8.7975 7.0642
Sm -2.1442 5.6085 10.2973
Sm -7.6992 9.6103 9.8938
Er -2.5367 7.1392 13.4788
Er -9.3572 11.8034 12.3422
Er -5.6854 2.8141 5.7675
```

Computed properties:
**Energy of formation from the pure elements**: 245 meV per atom
**SG**: Fm-3m, No. 225

***

no.,V (A^3/atom),DOS at the Fermi energy (states/eV/cell)
1,18.707,1.77
2,33.140,16.09
3,22.135,3.74
4,13.259,6.66
5,18.194,2.10
6,20.500,9.90
7,37.319,1.82
8,27.257,3.02
9,17.894,4.97
10,30.429,4.29
11,19.163,4.11
12,33.139,52.32